1.
Here is a relaxed structure of Ho2HRu from Alexandria via LeMat-Bulk. Energies are from PBE.

Offset from the most stable computed form in eV/f.u.: 0.16

Cell lengths 3.260, 3.260, 7.011 Å; angles 90.00, 90.00, 90.00 degrees
Positions (direct):
1 Ho 0.000 0.000 0.243
2 Ho 0.000 0.000 0.757
3 Ru 0.500 0.500 0.000
4 H 0.500 0.500 0.500

***

2.
Here is a relaxed structure of HoSiHRu2 from Alexandria via LeMat-Bulk. Energies are from PBE.

Cell lengths 3.267, 5.862, 7.508 Å; angles 90.00, 90.00, 106.18 degrees
Positions (direct):
1 Ho 0.462 0.924 0.750
2 Ho 0.538 0.076 0.250
3 Ru 0.847 0.695 0.047
4 Ru 0.153 0.305 0.547
5 Ru 0.847 0.695 0.453
6 Ru 0.153 0.305 0.953
7 Si 0.262 0.523 0.250
8 Si 0.738 0.477 0.750
9 H 0.000 0.000 0.000
10 H 0.000 0.000 0.500

***

3.
Here is a relaxed structure of HoZnH8Ru2 from Alexandria via LeMat-Bulk. Energies are from PBE.

Cell lengths 4.588, 4.588, 6.490 Å; angles 90.00, 90.00, 120.00 degrees
Positions (direct):
1 H 0.333 0.667 0.585
2 H 0.667 0.333 0.415
3 H 0.140 0.860 0.775
4 H 0.860 0.140 0.225
5 H 0.860 0.721 0.225
6 H 0.279 0.140 0.225
7 H 0.140 0.279 0.775
8 H 0.721 0.860 0.775
9 Ru 0.667 0.333 0.162
10 Ru 0.333 0.667 0.838
11 Ho 0.000 0.000 0.500
12 Zn 0.000 0.000 0.000

***

4.
Here is a relaxed structure of HoHS2 from Alexandria via LeMat-Bulk. Energies are from PBE.

Offset from the most stable computed form in eV/f.u.: 0.17

Cell lengths 4.066, 4.066, 6.520 Å; angles 71.83, 71.83, 60.00 degrees
Positions (direct):
1 S 0.911 0.911 0.268
2 S 0.089 0.089 0.732
3 Ho 0.500 0.500 0.500
4 H 0.000 0.000 0.000

***

5.
Here is a relaxed structure of Ho2HS from Alexandria via LeMat-Bulk. Energies are from PBE.

Cell lengths 3.672, 3.672, 7.319 Å; angles 75.47, 75.47, 60.00 degrees
Positions (direct):
1 H 0.455 0.455 0.636
2 Ho 0.096 0.096 0.711
3 Ho 0.267 0.267 0.199
4 S 0.682 0.682 0.954

***

6.
Here is a relaxed structure of HoHS2 from Alexandria via LeMat-Bulk. Energies are from PBE.

Offset from the most stable computed form in eV/f.u.: 0.00

Cell lengths 4.069, 6.034, 6.724 Å; angles 90.00, 90.00, 90.00 degrees
Positions (direct):
1 H 0.500 0.167 0.958
2 H 0.000 0.833 0.458
3 Ho 0.000 0.716 0.993
4 Ho 0.500 0.284 0.493
5 S 0.500 0.488 0.144
6 S 0.000 0.009 0.327
7 S 0.500 0.991 0.827
8 S 0.000 0.512 0.644

***

Number 1: DFT total energy -5.653 eV/atom, calculated density 9.63 Mg/m³. Number 2: DFT total energy -6.942 eV/atom, calculated density 9.53 Mg/m³. Number 3: DFT total energy -4.178 eV/atom, calculated density 6.18 Mg/m³. Number 4: DFT total energy -5.339 eV/atom, calculated density 4.39 Mg/m³. Number 5: DFT total energy -5.155 eV/atom, calculated density 7.37 Mg/m³. Number 6: DFT total energy -5.382 eV/atom, calculated density 4.63 Mg/m³.